Density functional theory data (PBE) for TlTcRh after structural relaxation.

Unit cell a=6.341 b=6.341 c=6.341 alpha=153.31 beta=153.31 gamma=38.11
Sites, in units of the cell vectors:
1 Tl 0.000 0.000 0.000
2 Tc 0.317 0.317 0.000
3 Rh 0.683 0.683 0.000

Summary:
Electronic total energy ... -6.394 eV/atom
Mass density ... 13.10 g/cm³
Space group ... I4mm, No. 107
DOS(E_F) ... 4.59 states/eV per cell
Calculated volume ... 17.12 Å³/atom
Relative energy among the computed polymorphs ... 0.00 eV per formula unit

***

Density functional theory data (PBE) for TlTcRh after structural relaxation.

Unit cell a=4.362 b=4.362 c=4.362 alpha=60.00 beta=60.00 gamma=60.00
Sites, in units of the cell vectors:
1 Tl 0.000 0.000 0.000
2 Tc 0.500 0.500 0.500
3 Rh 0.750 0.750 0.750

Summary:
Electronic total energy ... -6.107 eV/atom
Mass density ... 11.47 g/cm³
Space group ... F-43m, No. 216
DOS(E_F) ... 2.12 states/eV per cell
Calculated volume ... 19.56 Å³/atom
Relative energy among the computed polymorphs ... 0.86 eV per formula unit